No. 1
Here is KReRuO2 after structural relaxation from Alexandria. Energies are from PBE.

a b c (Å): 4.1567 4.1567 4.8128
angles (deg): 90.00 90.00 90.00
Fractional coordinates of all 5 atoms:
K 0.0000 0.0000 0.0000
Re 0.5000 0.5000 0.0000
Ru 0.5000 0.5000 0.5000
O 0.0000 0.5000 0.5000
O 0.5000 0.0000 0.5000

Calculated values
Space group = P4/mmm
E_form (uncorrected) = 0.69 eV/atom
Energy = -5.857 eV per atom

***

No. 2
Here is CsTlGe2Mo after structural relaxation from Alexandria. Energies are from PBE.

a b c (Å): 5.4786 5.4786 6.5502
angles (deg): 90.00 90.00 90.00
Fractional coordinates of all 5 atoms:
Cs 0.0000 0.0000 0.0000
Tl 0.0000 0.0000 0.5000
Ge 0.0000 0.5000 0.5000
Ge 0.5000 0.0000 0.5000
Mo 0.5000 0.5000 0.0000

Calculated values
Space group = P4/mmm
Energy = -3.096 eV per atom
ΔH_f (0 K) = 1.56 eV per atom

***

- Which of these has the lowest energy?
  KReRuO2

***

What did the first record say?
Here is KReRuO2 after structural relaxation from Alexandria. Energies are from PBE.

a b c (Å): 4.1567 4.1567 4.8128
angles (deg): 90.00 90.00 90.00
Fractional coordinates of all 5 atoms:
K 0.0000 0.0000 0.0000
Re 0.5000 0.5000 0.0000
Ru 0.5000 0.5000 0.5000
O 0.0000 0.5000 0.5000
O 0.5000 0.0000 0.5000

Calculated values
Space group = P4/mmm
E_form (uncorrected) = 0.69 eV/atom
Energy = -5.857 eV per atom